1.
# LaYBeAl | Alexandria | PBE | relaxed
# magnetic moment	0.000	μB per atom
# D(E_F)	4.1	states/eV per cell
# SG	F-43m, No. 216
data_LaYBeAl
_chemical_formula_sum 'La1 Y1 Be1 Al1'
_cell_length_a 5.134
_cell_length_b 5.134
_cell_length_c 5.134
_cell_angle_alpha 60.00
_cell_angle_beta 60.00
_cell_angle_gamma 60.00
_symmetry_space_group_name_H-M 'P 1'
_symmetry_Int_Tables_number 1
loop_
_symmetry_equiv_pos_as_xyz
'x,y,z'
loop_
_atom_site_label
_atom_site_type_symbol
_atom_site_fract_x
_atom_site_fract_y
_atom_site_fract_z
La1 La 0.000 0.000 0.000
Y1 Y 0.500 0.500 0.500
Be1 Be 0.250 0.250 0.250
Al1 Al 0.750 0.750 0.750


2.
# LaBeAl2Zn | Alexandria | PBE | relaxed
# magnetic moment	0.001	μB per atom
# D(E_F)	8.5	states/eV per cell
# SG	P4/mmm, No. 123
data_LaBeAl2Zn
_chemical_formula_sum 'La1 Be1 Al2 Zn1'
_cell_length_a 5.818
_cell_length_b 5.818
_cell_length_c 5.659
_cell_angle_alpha 90.00
_cell_angle_beta 90.00
_cell_angle_gamma 90.00
_symmetry_space_group_name_H-M 'P 1'
_symmetry_Int_Tables_number 1
loop_
_symmetry_equiv_pos_as_xyz
'x,y,z'
loop_
_atom_site_label
_atom_site_type_symbol
_atom_site_fract_x
_atom_site_fract_y
_atom_site_fract_z
La1 La 0.000 0.000 0.000
Be1 Be 0.500 0.500 0.500
Al1 Al 0.000 0.500 0.000
Al2 Al 0.500 0.000 0.000
Zn1 Zn 0.000 0.000 0.500


3.
# LiBeAl2 | Alexandria | PBE | relaxed
# magnetic moment	0.000	μB per atom
# D(E_F)	3.2	states/eV per cell
# SG	I-42d, No. 122
data_LiBeAl2
_chemical_formula_sum 'Li2 Be2 Al4'
_cell_length_a 9.108
_cell_length_b 9.108
_cell_length_c 9.108
_cell_angle_alpha 155.53
_cell_angle_beta 155.53
_cell_angle_gamma 34.88
_symmetry_space_group_name_H-M 'P 1'
_symmetry_Int_Tables_number 1
loop_
_symmetry_equiv_pos_as_xyz
'x,y,z'
loop_
_atom_site_label
_atom_site_type_symbol
_atom_site_fract_x
_atom_site_fract_y
_atom_site_fract_z
Li1 Li 0.000 0.000 0.000
Li2 Li 0.750 0.250 0.500
Be1 Be 0.250 0.750 0.500
Be2 Be 0.500 0.500 0.000
Al1 Al 0.133 0.625 0.008
Al2 Al 0.375 0.383 0.508
Al3 Al 0.617 0.125 0.992
Al4 Al 0.875 0.867 0.492


4.
# LiBeAl2 | Alexandria | PBE | relaxed
# magnetic moment	0.000	μB per atom
# D(E_F)	0.9	states/eV per cell
# SG	R-3m, No. 166
data_LiBeAl2
_chemical_formula_sum 'Li1 Be1 Al2'
_cell_length_a 8.706
_cell_length_b 8.706
_cell_length_c 8.706
_cell_angle_alpha 18.56
_cell_angle_beta 18.56
_cell_angle_gamma 18.56
_symmetry_space_group_name_H-M 'P 1'
_symmetry_Int_Tables_number 1
loop_
_symmetry_equiv_pos_as_xyz
'x,y,z'
loop_
_atom_site_label
_atom_site_type_symbol
_atom_site_fract_x
_atom_site_fract_y
_atom_site_fract_z
Li1 Li 0.000 0.000 0.000
Be1 Be 0.500 0.500 0.500
Al1 Al 0.244 0.244 0.244
Al2 Al 0.756 0.756 0.756


5.
# LiBeAl2 | Alexandria | PBE | relaxed
# magnetic moment	0.000	μB per atom
# D(E_F)	0.8	states/eV per cell
# SG	P2/m, No. 10
data_LiBeAl2
_chemical_formula_sum 'Li1 Be1 Al2'
_cell_length_a 2.803
_cell_length_b 3.964
_cell_length_c 5.348
_cell_angle_alpha 90.00
_cell_angle_beta 101.93
_cell_angle_gamma 90.00
_symmetry_space_group_name_H-M 'P 1'
_symmetry_Int_Tables_number 1
loop_
_symmetry_equiv_pos_as_xyz
'x,y,z'
loop_
_atom_site_label
_atom_site_type_symbol
_atom_site_fract_x
_atom_site_fract_y
_atom_site_fract_z
Li1 Li 0.000 0.000 0.000
Be1 Be 0.000 0.000 0.500
Al1 Al 0.386 0.500 0.732
Al2 Al 0.614 0.500 0.268


6.
# LiBeAl2 | Alexandria | PBE | relaxed
# magnetic moment	0.000	μB per atom
# D(E_F)	1.1	states/eV per cell
# SG	I-4m2, No. 119
data_LiBeAl2
_chemical_formula_sum 'Li1 Be1 Al2'
_cell_length_a 4.708
_cell_length_b 4.708
_cell_length_c 4.708
_cell_angle_alpha 132.09
_cell_angle_beta 132.09
_cell_angle_gamma 70.09
_symmetry_space_group_name_H-M 'P 1'
_symmetry_Int_Tables_number 1
loop_
_symmetry_equiv_pos_as_xyz
'x,y,z'
loop_
_atom_site_label
_atom_site_type_symbol
_atom_site_fract_x
_atom_site_fract_y
_atom_site_fract_z
Li1 Li 0.000 0.000 0.000
Be1 Be 0.250 0.750 0.500
Al1 Al 0.500 0.500 0.000
Al2 Al 0.750 0.250 0.500


7.
# Li3BeAl | Alexandria | PBE | relaxed
# magnetic moment	0.000	μB per atom
# D(E_F)	2.9	states/eV per cell
# SG	Pm-3m, No. 221
# energy above the lowest structure with this stoichiometry	348	meV/atom
data_Li3BeAl
_chemical_formula_sum 'Li3 Be1 Al1'
_cell_length_a 4.832
_cell_length_b 4.832
_cell_length_c 4.832
_cell_angle_alpha 90.00
_cell_angle_beta 90.00
_cell_angle_gamma 90.00
_symmetry_space_group_name_H-M 'P 1'
_symmetry_Int_Tables_number 1
loop_
_symmetry_equiv_pos_as_xyz
'x,y,z'
loop_
_atom_site_label
_atom_site_type_symbol
_atom_site_fract_x
_atom_site_fract_y
_atom_site_fract_z
Li1 Li 0.000 0.000 0.500
Li2 Li 0.000 0.500 0.000
Li3 Li 0.500 0.000 0.000
Be1 Be 0.500 0.500 0.500
Al1 Al 0.000 0.000 0.000


8.
# LiBeAl2 | Alexandria | PBE | relaxed
# magnetic moment	0.000	μB per atom
# D(E_F)	1.2	states/eV per cell
# SG	P4mm, No. 99
data_LiBeAl2
_chemical_formula_sum 'Li1 Be1 Al2'
_cell_length_a 2.933
_cell_length_b 2.933
_cell_length_c 6.581
_cell_angle_alpha 90.00
_cell_angle_beta 90.00
_cell_angle_gamma 90.00
_symmetry_space_group_name_H-M 'P 1'
_symmetry_Int_Tables_number 1
loop_
_symmetry_equiv_pos_as_xyz
'x,y,z'
loop_
_atom_site_label
_atom_site_type_symbol
_atom_site_fract_x
_atom_site_fract_y
_atom_site_fract_z
Li1 Li 0.000 0.000 0.000
Be1 Be 0.500 0.500 0.774
Al1 Al 0.000 0.000 0.574
Al2 Al 0.500 0.500 0.284


9.
# LiBeAl2 | Alexandria | PBE | relaxed
# magnetic moment	0.000	μB per atom
# D(E_F)	0.5	states/eV per cell
# SG	P4/mmm, No. 123
data_LiBeAl2
_chemical_formula_sum 'Li1 Be1 Al2'
_cell_length_a 3.865
_cell_length_b 3.865
_cell_length_c 3.760
_cell_angle_alpha 90.00
_cell_angle_beta 90.00
_cell_angle_gamma 90.00
_symmetry_space_group_name_H-M 'P 1'
_symmetry_Int_Tables_number 1
loop_
_symmetry_equiv_pos_as_xyz
'x,y,z'
loop_
_atom_site_label
_atom_site_type_symbol
_atom_site_fract_x
_atom_site_fract_y
_atom_site_fract_z
Li1 Li 0.000 0.000 0.000
Be1 Be 0.500 0.500 0.000
Al1 Al 0.000 0.500 0.500
Al2 Al 0.500 0.000 0.500


10.
# Li2BeAl2 | Alexandria | PBE | relaxed
# magnetic moment	0.000	μB per atom
# D(E_F)	1.9	states/eV per cell
# SG	I4/mmm, No. 139
# energy above the lowest structure with this stoichiometry	326	meV/atom
data_Li2BeAl2
_chemical_formula_sum 'Li2 Be1 Al2'
_cell_length_a 7.072
_cell_length_b 7.072
_cell_length_c 7.072
_cell_angle_alpha 150.03
_cell_angle_beta 150.03
_cell_angle_gamma 42.90
_symmetry_space_group_name_H-M 'P 1'
_symmetry_Int_Tables_number 1
loop_
_symmetry_equiv_pos_as_xyz
'x,y,z'
loop_
_atom_site_label
_atom_site_type_symbol
_atom_site_fract_x
_atom_site_fract_y
_atom_site_fract_z
Li1 Li 0.091 0.091 0.000
Li2 Li 0.909 0.909 0.000
Be1 Be 0.500 0.500 0.000
Al1 Al 0.250 0.750 0.500
Al2 Al 0.750 0.250 0.500


11.
# Li3BeAl | Alexandria | PBE | relaxed
# magnetic moment	0.000	μB per atom
# D(E_F)	1.7	states/eV per cell
# SG	Pm-3m, No. 221
# energy above the lowest structure with this stoichiometry	0	meV/atom
data_Li3BeAl
_chemical_formula_sum 'Li3 Be1 Al1'
_cell_length_a 4.409
_cell_length_b 4.409
_cell_length_c 4.409
_cell_angle_alpha 90.00
_cell_angle_beta 90.00
_cell_angle_gamma 90.00
_symmetry_space_group_name_H-M 'P 1'
_symmetry_Int_Tables_number 1
loop_
_symmetry_equiv_pos_as_xyz
'x,y,z'
loop_
_atom_site_label
_atom_site_type_symbol
_atom_site_fract_x
_atom_site_fract_y
_atom_site_fract_z
Li1 Li 0.000 0.000 0.500
Li2 Li 0.000 0.500 0.000
Li3 Li 0.500 0.000 0.000
Be1 Be 0.000 0.000 0.000
Al1 Al 0.500 0.500 0.500


12.
# LiBeAl2 | Alexandria | PBE | relaxed
# magnetic moment	0.000	μB per atom
# D(E_F)	0.7	states/eV per cell
# SG	P4/mmm, No. 123
data_LiBeAl2
_chemical_formula_sum 'Li1 Be1 Al2'
_cell_length_a 2.701
_cell_length_b 2.701
_cell_length_c 7.971
_cell_angle_alpha 90.00
_cell_angle_beta 90.00
_cell_angle_gamma 90.00
_symmetry_space_group_name_H-M 'P 1'
_symmetry_Int_Tables_number 1
loop_
_symmetry_equiv_pos_as_xyz
'x,y,z'
loop_
_atom_site_label
_atom_site_type_symbol
_atom_site_fract_x
_atom_site_fract_y
_atom_site_fract_z
Li1 Li 0.000 0.000 0.000
Be1 Be 0.000 0.000 0.500
Al1 Al 0.500 0.500 0.280
Al2 Al 0.500 0.500 0.720


13.
# LiBeAl2 | Alexandria | PBE | relaxed
# magnetic moment	0.000	μB per atom
# D(E_F)	0.5	states/eV per cell
# SG	Cmmm, No. 65
data_LiBeAl2
_chemical_formula_sum 'Li1 Be1 Al2'
_cell_length_a 4.666
_cell_length_b 4.666
_cell_length_c 2.745
_cell_angle_alpha 90.00
_cell_angle_beta 90.00
_cell_angle_gamma 108.60
_symmetry_space_group_name_H-M 'P 1'
_symmetry_Int_Tables_number 1
loop_
_symmetry_equiv_pos_as_xyz
'x,y,z'
loop_
_atom_site_label
_atom_site_type_symbol
_atom_site_fract_x
_atom_site_fract_y
_atom_site_fract_z
Li1 Li 0.000 0.000 0.000
Be1 Be 0.500 0.500 0.000
Al1 Al 0.000 0.500 0.500
Al2 Al 0.500 0.000 0.500


14.
# LiBeAl2 | Alexandria | PBE | relaxed
# magnetic moment	0.000	μB per atom
# D(E_F)	1.1	states/eV per cell
# SG	F-43m, No. 216
data_LiBeAl2
_chemical_formula_sum 'Li1 Be1 Al2'
_cell_length_a 4.313
_cell_length_b 4.313
_cell_length_c 4.313
_cell_angle_alpha 60.00
_cell_angle_beta 60.00
_cell_angle_gamma 60.00
_symmetry_space_group_name_H-M 'P 1'
_symmetry_Int_Tables_number 1
loop_
_symmetry_equiv_pos_as_xyz
'x,y,z'
loop_
_atom_site_label
_atom_site_type_symbol
_atom_site_fract_x
_atom_site_fract_y
_atom_site_fract_z
Li1 Li 0.000 0.000 0.000
Be1 Be 0.750 0.750 0.750
Al1 Al 0.250 0.250 0.250
Al2 Al 0.500 0.500 0.500


15.
# LiBeAl3 | Alexandria | PBE | relaxed
# magnetic moment	0.000	μB per atom
# D(E_F)	2.5	states/eV per cell
# SG	Pm-3m, No. 221
# energy above the lowest structure with this stoichiometry	0	meV/atom
data_LiBeAl3
_chemical_formula_sum 'Li1 Be1 Al3'
_cell_length_a 4.440
_cell_length_b 4.440
_cell_length_c 4.440
_cell_angle_alpha 90.00
_cell_angle_beta 90.00
_cell_angle_gamma 90.00
_symmetry_space_group_name_H-M 'P 1'
_symmetry_Int_Tables_number 1
loop_
_symmetry_equiv_pos_as_xyz
'x,y,z'
loop_
_atom_site_label
_atom_site_type_symbol
_atom_site_fract_x
_atom_site_fract_y
_atom_site_fract_z
Li1 Li 0.000 0.000 0.000
Be1 Be 0.500 0.500 0.500
Al1 Al 0.000 0.500 0.500
Al2 Al 0.500 0.000 0.500
Al3 Al 0.500 0.500 0.000


16.
# LiBeAl3 | Alexandria | PBE | relaxed
# magnetic moment	0.000	μB per atom
# D(E_F)	2.0	states/eV per cell
# SG	Pm-3m, No. 221
# energy above the lowest structure with this stoichiometry	471	meV/atom
data_LiBeAl3
_chemical_formula_sum 'Li1 Be1 Al3'
_cell_length_a 4.388
_cell_length_b 4.388
_cell_length_c 4.388
_cell_angle_alpha 90.00
_cell_angle_beta 90.00
_cell_angle_gamma 90.00
_symmetry_space_group_name_H-M 'P 1'
_symmetry_Int_Tables_number 1
loop_
_symmetry_equiv_pos_as_xyz
'x,y,z'
loop_
_atom_site_label
_atom_site_type_symbol
_atom_site_fract_x
_atom_site_fract_y
_atom_site_fract_z
Li1 Li 0.000 0.000 0.000
Be1 Be 0.500 0.500 0.500
Al1 Al 0.000 0.000 0.500
Al2 Al 0.000 0.500 0.000
Al3 Al 0.500 0.000 0.000


17.
# LiBeAl2 | Alexandria | PBE | relaxed
# magnetic moment	0.000	μB per atom
# D(E_F)	1.2	states/eV per cell
# SG	I4/mmm, No. 139
data_LiBeAl2
_chemical_formula_sum 'Li1 Be1 Al2'
_cell_length_a 4.535
_cell_length_b 4.535
_cell_length_c 4.535
_cell_angle_alpha 128.40
_cell_angle_beta 128.40
_cell_angle_gamma 75.98
_symmetry_space_group_name_H-M 'P 1'
_symmetry_Int_Tables_number 1
loop_
_symmetry_equiv_pos_as_xyz
'x,y,z'
loop_
_atom_site_label
_atom_site_type_symbol
_atom_site_fract_x
_atom_site_fract_y
_atom_site_fract_z
Li1 Li 0.000 0.000 0.000
Be1 Be 0.500 0.500 0.000
Al1 Al 0.250 0.750 0.500
Al2 Al 0.750 0.250 0.500


18.
# Li2BeAl2 | Alexandria | PBE | relaxed
# magnetic moment	0.000	μB per atom
# D(E_F)	1.3	states/eV per cell
# SG	I4/mmm, No. 139
# energy above the lowest structure with this stoichiometry	148	meV/atom
data_Li2BeAl2
_chemical_formula_sum 'Li2 Be1 Al2'
_cell_length_a 7.290
_cell_length_b 7.290
_cell_length_c 7.290
_cell_angle_alpha 153.51
_cell_angle_beta 153.51
_cell_angle_gamma 37.82
_symmetry_space_group_name_H-M 'P 1'
_symmetry_Int_Tables_number 1
loop_
_symmetry_equiv_pos_as_xyz
'x,y,z'
loop_
_atom_site_label
_atom_site_type_symbol
_atom_site_fract_x
_atom_site_fract_y
_atom_site_fract_z
Li1 Li 0.250 0.750 0.500
Li2 Li 0.750 0.250 0.500
Be1 Be 0.000 0.000 0.000
Al1 Al 0.407 0.407 0.000
Al2 Al 0.593 0.593 0.000


19.
# LiBeAl2 | Alexandria | PBE | relaxed
# magnetic moment	0.000	μB per atom
# D(E_F)	1.5	states/eV per cell
# SG	Immm, No. 71
data_LiBeAl2
_chemical_formula_sum 'Li1 Be1 Al2'
_cell_length_a 5.345
_cell_length_b 5.345
_cell_length_c 5.345
_cell_angle_alpha 150.47
_cell_angle_beta 127.60
_cell_angle_gamma 61.30
_symmetry_space_group_name_H-M 'P 1'
_symmetry_Int_Tables_number 1
loop_
_symmetry_equiv_pos_as_xyz
'x,y,z'
loop_
_atom_site_label
_atom_site_type_symbol
_atom_site_fract_x
_atom_site_fract_y
_atom_site_fract_z
Li1 Li 0.000 0.000 0.000
Be1 Be 0.500 0.500 0.000
Al1 Al 0.279 0.779 0.500
Al2 Al 0.721 0.221 0.500


20.
# LiBeAl2 | Alexandria | PBE | relaxed
# magnetic moment	0.000	μB per atom
# D(E_F)	0.9	states/eV per cell
# SG	C2/m, No. 12
data_LiBeAl2
_chemical_formula_sum 'Li1 Be1 Al2'
_cell_length_a 4.568
_cell_length_b 4.568
_cell_length_c 5.092
_cell_angle_alpha 101.45
_cell_angle_beta 101.45
_cell_angle_gamma 33.92
_symmetry_space_group_name_H-M 'P 1'
_symmetry_Int_Tables_number 1
loop_
_symmetry_equiv_pos_as_xyz
'x,y,z'
loop_
_atom_site_label
_atom_site_type_symbol
_atom_site_fract_x
_atom_site_fract_y
_atom_site_fract_z
Li1 Li 0.000 0.000 0.000
Be1 Be 0.500 0.500 0.500
Al1 Al 0.233 0.233 0.735
Al2 Al 0.767 0.767 0.265


Looking at energy of formation from the pure elements for the records above, in order, we have -78, 1638, 360, 99, 111, 85, 840, 121, 59, 457, 492, 28, 120, 154, 340, 811, 83, 279, 141, 103 meV/atom.